Density functional theory data (PBE) for an optimized crystal structure of Tb5PmDy.

```
7
Lattice="-2.064 -3.047 4.466 -2.576 -7.107 -2.291 4.873 -5.894 1.980" Properties=species:S:1:pos:R:3 pbc="T T T"
Tb 2.505 -7.635 3.447
Tb -2.272 -8.413 0.708
Tb -0.962 -5.562 3.259
Tb 1.195 -10.486 0.896
Tb 1.148 -6.501 -0.155
Pm 0.000 0.000 0.000
Dy 0.116 -8.024 2.077
```

Results
* ΔE to the lowest computed polymorph: 895.8 meV/atom
* DOS(E_F): 9.8 states/eV/cell
* ρ: 6.14 g/cm3
* space-group type: No. 71
* DFT formation energy: 1.081 eV per atom
* DFT total energy: -3.56 eV/atom